Entry 1:
La6GePd2I3: optimized geometry, PBE.

The space group is C2/m (No. 12) and the conventional cell measures 7.614, 13.208 and 8.259 Å, with angles of 90.00, 107.89 and 90.00 degrees. The inequivalent atoms are La at (0.231, 0.000, 0.203), La at (0.238, 0.332, 0.203), Ge at (0.000, 0.500, 0.000), Pd at (0.000, 0.167, 0.000), I at (0.000, 0.000, 0.500) and I at (0.000, 0.337, 0.500).

Its density of states at the Fermi level is 21.71 states/eV/cell. The uncorrected formation energy is -0.96 eV per atom. The value obtained for the total energy is -5.06 eV/atom.

---

Entry 2:
La6Ge2PdI3: optimized geometry, PBE.

The space group is C2/m (No. 12) and the conventional cell measures 20.061, 4.375 and 9.409 Å, with angles of 90.00, 105.54 and 90.00 degrees. The inequivalent atoms are La at (0.010, 0.000, 0.218), La at (0.159, 0.500, 0.110), La at (0.176, 0.500, 0.559), Ge at (0.166, 0.000, 0.334), Pd at (0.000, 0.500, 0.000), I at (0.000, 0.500, 0.500) and I at (0.168, 0.000, 0.831).

Its density of states at the Fermi level is 18.93 states/eV/cell. The uncorrected formation energy is -1.02 eV per atom. The value obtained for the total energy is -5.08 eV/atom.